The following is a DFT calculation (PBE-GGA) of a relaxed structure of PrTlTe3Pb.

```
PrTlTe3Pb
1.0
-2.7863 0.9064 -7.4412
1.6849 -5.2895 5.7566
-11.3161 1.1608 4.3786
Pb Te Pr Tl
2 6 2 2
direct
0.4670 0.5330 0.2500 Pb
0.5330 0.4670 0.7500 Pb
0.6422 0.3578 0.5381 Te
0.6422 0.3578 0.9619 Te
0.3578 0.6422 0.0381 Te
0.9065 0.0935 0.7500 Te
0.3578 0.6422 0.4619 Te
0.0935 0.9065 0.2500 Te
0.0000 0.0000 0.0000 Pr
0.0000 0.0000 0.5000 Pr
0.7537 0.2463 0.2500 Tl
0.2463 0.7537 0.7500 Tl
```

Total energy (eV/cell): -48.6
Total magnetization (μB per formula unit): 0.00
Calculated volume (Å³/cell): 448